This record from the Alexandria database describes a geometry-optimized FeCuS2 structure. The functional is GGA-PBE.

The calculation puts the uncorrected energy at -5.430 eV/atom. For the total magnetization, the calculation gives 1.00 Bohr magnetons per cell. For the density of states at the Fermi level, the calculation gives 1.212 states/eV per atom. Its energy relative to the elements, uncorrected is -87 kJ/mol of formula units.

Structure (POSCAR):
```
FeCuS2
1.0
0.295 6.980 0.387
-0.909 6.088 3.327
2.343 5.981 2.774
S Fe Cu
2 1 1
direct
0.893 0.893 0.893 S
0.107 0.107 0.107 S
0.500 0.500 0.500 Fe
0.000 0.000 0.000 Cu
```